Record 1
Entry from Alexandria: a relaxed Ce2ErPaS4 crystal (PBE-GGA).

Lattice parameters (Å, degrees): 6.843 3.913 6.860 90.00 108.95 90.00
Space group P2/m (No. 10)
One atom of each set of equivalent atoms:
Ce1 0.000 0.000 0.000 (multiplicity 1)
Ce2 0.000 0.500 0.500 (multiplicity 1)
Er1 0.500 0.000 0.500 (multiplicity 1)
Pa1 0.500 0.500 0.000 (multiplicity 1)
S1 0.260 0.000 0.749 (multiplicity 2)
S2 0.263 0.500 0.257 (multiplicity 2)

The value obtained for the uncorrected formation energy is -44.10 kcal/mol of atoms.

---

Record 2
Entry from Alexandria: a relaxed TmZrCoRu crystal (PBE-GGA).

Lattice parameters (Å, degrees): 6.560 6.560 6.560 90.00 90.00 90.00
Space group F-43m (No. 216)
One atom of each set of equivalent atoms:
Tm1 0.000 0.000 0.000 (multiplicity 4)
Zr1 0.000 0.000 0.500 (multiplicity 4)
Co1 0.250 0.250 0.750 (multiplicity 4)
Ru1 0.250 0.250 0.250 (multiplicity 4)

The formation energy comes out at -0.41 eV per atom. The calculation puts the offset from the most stable computed form at 37.0 meV/atom.